Entry 1:
A plane-wave DFT calculation with PBE-GGA was carried out for crystalline CeZr4P5 at its relaxed geometry.

Total energy ... -8.1015 eV per atom

Cell: 3.8032 6.5973 8.5271 Å, 75.17 77.11 73.25°
Positions (direct):
Ce1 0.0000 0.0000 0.0000
Zr1 0.5980 0.2067 0.5973
Zr2 0.1967 0.3920 0.2146
Zr3 0.8033 0.6080 0.7854
Zr4 0.4020 0.7933 0.4027
P1 0.2022 0.9064 0.6893
P2 0.7978 0.0936 0.3107
P3 0.3910 0.3219 0.8961
P4 0.0000 0.5000 0.5000
P5 0.6090 0.6781 0.1039

---

Entry 2:
A plane-wave DFT calculation with PBE-GGA was carried out for crystalline CeZr5P6 at its relaxed geometry.

Total energy ... -8.1321 eV per atom

Cell: 6.5934 6.5934 6.5691 Å, 99.59 99.59 120.23°
Positions (direct):
P1 0.4271 0.0863 0.2575
P2 0.9137 0.5729 0.7425
P3 0.2586 0.2586 0.7491
P4 0.7414 0.7414 0.2509
P5 0.0863 0.4271 0.2575
P6 0.5729 0.9137 0.7425
Zr1 0.8348 0.1652 0.5000
Zr2 0.6695 0.3305 0.0000
Zr3 0.5000 0.5000 0.5000
Zr4 0.3305 0.6695 0.0000
Zr5 0.1652 0.8348 0.5000
Ce1 0.0000 0.0000 0.0000

---

Entry 3:
A plane-wave DFT calculation with PBE-GGA was carried out for crystalline Ce2ZrP3 at its relaxed geometry.

Total energy ... -7.5177 eV per atom

Cell: 3.9814 3.9814 8.8237 Å, 103.04 103.04 90.00°
Site moments in Bohr magnetons follow the coordinates.
Positions (direct):
Ce1 0.0993 0.1006 0.2041  0.15
Ce2 0.7692 0.7705 0.5439  0.15
Zr1 0.4341 0.4359 0.8740  0.01
P1 0.9341 0.9359 0.8740  0.00
P2 0.2733 0.2746 0.5519  -0.01
P3 0.5953 0.5966 0.1960  -0.01

---

| no. | total magnetization (μB per cell) | N(E_F) (states/eV per cell) | ΔH_f (0 K) (eV per formula unit) |
| --- | --- | --- | --- |
| 1 | 0.0 | 5.6 | -13.84 |
| 2 | 0.0 | 5.7 | -16.45 |
| 3 | 0.4 | 7.6 | -8.46 |